Record 1
Al2CuAgTe4, optimized geometry, DFT PBE; electronic total energy = -3.672 eV/atom; crystal system = tetragonal; SG = I-4, No. 82
1.0
-3.128 3.128 6.081
3.128 -3.128 6.081
3.128 3.128 -6.081
Ag Al Cu Te
1 2 1 4
Direct
0.000 0.000 0.000
0.500 0.500 0.000
0.750 0.250 0.500
0.250 0.750 0.500
0.132 0.614 0.007
0.875 0.868 0.482
0.386 0.394 0.518
0.606 0.125 0.993

Record 2
UAg, optimized geometry, DFT PBE; electronic total energy = -5.316 eV/atom; ΔH_f (0 K) = 1.7441 eV per atom; crystal system = cubic; size of the total moment = 3.7 μB per formula unit; SG = F-43m, No. 216
1.0
0.000 3.314 3.314
3.314 0.000 3.314
3.314 3.314 0.000
Ag U
1 1
Direct
0.000 0.000 0.000
0.250 0.250 0.250

Record 3
AgIr6W, optimized geometry, DFT PBE; electronic total energy = -7.383 eV/atom; ΔH_f (0 K) = 1.2315 eV per atom; crystal system = cubic; size of the total moment = 0.0 μB per formula unit; SG = F-43m, No. 216
1.0
-4.902 -3.445 0.391
-4.263 1.292 4.026
-5.312 2.119 -1.828
Ag Ir W
1 6 1
Direct
0.000 0.000 0.000
0.712 0.712 0.288
0.712 0.288 0.288
0.288 0.712 0.288
0.712 0.288 0.712
0.288 0.288 0.712
0.288 0.712 0.712
0.250 0.250 0.250

Record 4
SmScTl, optimized geometry, DFT PBE; electronic total energy = -4.003 eV/atom; crystal system = cubic; distance to the lowest polymorph of the same formula = 733.7 meV per atom; size of the total moment = 0.5 μB per formula unit; SG = F-43m, No. 216
1.0
-1.666 -2.613 4.042
-2.170 2.453 3.901
-5.001 -0.475 0.841
Sc Sm Tl
1 1 1
Direct
0.250 0.250 0.250
0.000 0.000 0.000
0.750 0.750 0.750

Record 5
Tb3Hg5, optimized geometry, DFT PBE; electronic total energy = -2.358 eV/atom; ΔH_f (0 K) = -0.4357 eV per atom; crystal system = orthorhombic; size of the total moment = 0.0 μB per formula unit; SG = Cmmm, No. 65
1.0
-4.586 2.168 -3.897
-2.920 -4.116 3.930
-0.967 3.783 3.243
Hg Tb
5 3
Direct
0.000 0.000 0.000
0.500 0.000 0.000
0.000 0.500 0.000
0.283 0.283 0.500
0.717 0.717 0.500
0.500 0.500 0.000
0.786 0.214 0.500
0.214 0.786 0.500

Record 6
AlOsPt, optimized geometry, DFT PBE; electronic total energy = -6.958 eV/atom; crystal system = cubic; distance to the lowest polymorph of the same formula = 0.0 meV per atom; size of the total moment = 0.0 μB per formula unit; SG = F-43m, No. 216
1.0
-1.700 1.521 3.407
-4.051 -0.278 0.570
-1.500 -2.536 2.851
Al Os Pt
1 1 1
Direct
0.000 0.000 0.000
0.250 0.250 0.250
0.750 0.750 0.750

Record 7
ScGaCuOs, optimized geometry, DFT PBE; electronic total energy = -6.041 eV/atom; crystal system = cubic; distance to the lowest polymorph of the same formula = 247.4 meV per atom; size of the total moment = 0.0 μB per formula unit; SG = F-43m, No. 216
1.0
-3.826 -1.194 1.921
-3.735 2.231 -0.910
-3.199 -1.915 -2.419
Cu Ga Os Sc
1 1 1 1
Direct
0.750 0.750 0.750
0.000 0.000 0.000
0.500 0.500 0.500
0.250 0.250 0.250

Record 8
SrZrS3, optimized geometry, DFT PBE; electronic total energy = -6.305 eV/atom; crystal system = orthorhombic; size of the total moment = 0.0 μB per formula unit; SG = Pnma, No. 62
1.0
-5.011 -4.793 -5.031
-1.415 -1.775 3.100
-10.128 9.643 0.900
S Sr Zr
12 4 4
Direct
0.838 0.250 0.014
0.517 0.750 0.107
0.206 0.250 0.216
0.706 0.250 0.284
0.017 0.750 0.393
0.338 0.250 0.486
0.662 0.750 0.514
0.983 0.250 0.607
0.294 0.750 0.716
0.794 0.750 0.784
0.483 0.250 0.893
0.162 0.750 0.986
0.933 0.750 0.179
0.433 0.750 0.321
0.567 0.250 0.679
0.067 0.250 0.821
0.328 0.250 0.057
0.828 0.250 0.443
0.172 0.750 0.557
0.672 0.750 0.943

Record 9
Cs2TlAgBr6, optimized geometry, DFT PBE; electronic total energy = -2.715 eV/atom; crystal system = cubic; SG = Fm-3m, No. 225
1.0
-3.268 3.357 6.418
-1.766 7.748 -0.033
-7.591 2.344 -0.172
Ag Br Cs Tl
1 6 2 1
Direct
0.500 0.500 0.500
0.253 0.747 0.253
0.747 0.253 0.253
0.747 0.747 0.253
0.253 0.747 0.747
0.253 0.253 0.747
0.747 0.253 0.747
0.250 0.250 0.250
0.750 0.750 0.750
0.000 0.000 0.000

Record 10
Ni2PbSe3, optimized geometry, DFT PBE; electronic total energy = -4.490 eV/atom; crystal system = orthorhombic; size of the total moment = 0.0 μB per formula unit; SG = Cmcm, No. 63
1.0
-3.566 -2.563 -5.042
-0.087 -3.071 -5.939
-0.116 -9.145 4.731
Ni Pb Se
4 2 6
Direct
0.000 0.000 0.000
0.388 0.388 0.250
0.000 0.000 0.500
0.612 0.612 0.750
0.727 0.727 0.250
0.273 0.273 0.750
0.378 0.378 0.022
0.012 0.012 0.250
0.378 0.378 0.478
0.622 0.622 0.522
0.988 0.988 0.750
0.622 0.622 0.978

Record 11
NdMg, optimized geometry, DFT PBE; electronic total energy = -3.164 eV/atom; crystal system = orthorhombic; distance to the lowest polymorph of the same formula = 103.9 meV per atom; size of the total moment = 0.0 μB per formula unit; SG = Amm2, No. 38
1.0
1.671 -5.785 -0.407
5.820 -0.970 -7.068
4.310 1.005 3.412
Mg Nd
5 5
Direct
0.989 0.008 0.000
0.397 0.192 0.000
0.676 0.000 0.500
0.076 0.200 0.500
0.856 0.600 0.500
0.824 0.392 0.000
0.193 0.600 0.000
0.616 0.808 0.000
0.460 0.386 0.500
0.246 0.814 0.500

Record 12
Nd2Ag2GePb, optimized geometry, DFT PBE; electronic total energy = -4.432 eV/atom; crystal system = trigonal; size of the total moment = 0.0 μB per formula unit; SG = P3m1, No. 156
1.0
-4.464 -0.693 1.468
3.619 -1.887 2.429
0.426 6.335 4.286
Ag Ge Nd Pb
2 1 2 1
Direct
0.667 0.333 0.199
0.000 0.000 0.672
0.000 0.000 0.272
0.333 0.667 0.472
0.333 0.667 0.991
0.667 0.333 0.767

- Look up the electronic total energy of the seventh one.
  -6.041 eV/atom

- Among the records above, which one has the highest electronic total energy?
  Tb3Hg5

- Which formula does entry 5 have?
  Tb3Hg5